1) ## Ca3MnF (PBE with a Hubbard U)

Data for a geometry-optimized Ca3MnF structure.

CIF file:
```
data_Ca3MnF
_cell_length_a 5.097
_cell_length_b 5.097
_cell_length_c 5.097
_cell_angle_alpha 90.00
_cell_angle_beta 90.00
_cell_angle_gamma 90.00
_symmetry_space_group_name_H-M 'P 1'
_symmetry_Int_Tables_number 1
loop_
_symmetry_equiv_pos_as_xyz
'x,y,z'
loop_
_atom_site_label
_atom_site_type_symbol
_atom_site_fract_x
_atom_site_fract_y
_atom_site_fract_z
Ca1 Ca 0.000 0.000 0.500
Mn1 Mn 0.500 0.500 0.500
Ca2 Ca 0.000 0.500 0.000
Ca3 Ca 0.500 0.000 0.000
F1 F 0.000 0.000 0.000
```

Computed properties:
The calculation puts the calculated volume at 26.49 A^3/atom. For the density of states at the Fermi level, the calculation gives 0.906 states/eV per atom. The space-group type is Pm-3m (221).

---

2) ## Ca3MnF (PBE with a Hubbard U)

Data for a geometry-optimized Ca3MnF structure.

CIF file:
```
data_Ca3MnF
_cell_length_a 6.023
_cell_length_b 6.023
_cell_length_c 6.023
_cell_angle_alpha 90.00
_cell_angle_beta 90.00
_cell_angle_gamma 90.00
_symmetry_space_group_name_H-M 'P 1'
_symmetry_Int_Tables_number 1
loop_
_symmetry_equiv_pos_as_xyz
'x,y,z'
loop_
_atom_site_label
_atom_site_type_symbol
_atom_site_fract_x
_atom_site_fract_y
_atom_site_fract_z
Mn1 Mn 0.000 0.000 0.000
Ca1 Ca 0.500 0.000 0.000
Ca2 Ca 0.000 0.000 0.500
F1 F 0.500 0.500 0.500
Ca3 Ca 0.000 0.500 0.000
```

Computed properties:
The calculation puts the calculated volume at 43.69 A^3/atom. For the density of states at the Fermi level, the calculation gives 0.701 states/eV per atom. The space-group type is Pm-3m (221).

---

Q: Which of them is the least stable? A: 2).

---

1) ## CaMoF2 (PBE with a Hubbard U)

Data for a geometry-optimized CaMoF2 structure.

CIF file:
```
data_CaMoF2
_cell_length_a 6.315
_cell_length_b 6.315
_cell_length_c 6.315
_cell_angle_alpha 38.70
_cell_angle_beta 38.70
_cell_angle_gamma 38.70
_symmetry_space_group_name_H-M 'P 1'
_symmetry_Int_Tables_number 1
loop_
_symmetry_equiv_pos_as_xyz
'x,y,z'
loop_
_atom_site_label
_atom_site_type_symbol
_atom_site_fract_x
_atom_site_fract_y
_atom_site_fract_z
F1 F 0.877 0.877 0.877
Mo1 Mo 0.500 0.500 0.500
F2 F 0.123 0.123 0.123
Ca1 Ca 0.000 0.000 0.000
```

Computed properties:
The calculation puts the calculated volume at 22.12 A^3/atom. For the density of states at the Fermi level, the calculation gives 0.295 states/eV per atom. The space-group type is R-3m (166).

---

2) ## CaMoF2 (PBE with a Hubbard U)

Data for a geometry-optimized CaMoF2 structure.

CIF file:
```
data_CaMoF2
_cell_length_a 5.904
_cell_length_b 5.904
_cell_length_c 6.966
_cell_angle_alpha 64.93
_cell_angle_beta 64.93
_cell_angle_gamma 90.00
_symmetry_space_group_name_H-M 'P 1'
_symmetry_Int_Tables_number 1
loop_
_symmetry_equiv_pos_as_xyz
'x,y,z'
loop_
_atom_site_label
_atom_site_type_symbol
_atom_site_fract_x
_atom_site_fract_y
_atom_site_fract_z
Ca1 Ca 0.500 0.500 0.000
Mo1 Mo 0.000 0.000 0.000
F1 F 0.875 0.761 0.750
Ca2 Ca 0.250 0.750 0.500
F2 F 0.511 0.125 0.250
F3 F 0.239 0.625 0.250
Mo2 Mo 0.750 0.250 0.500
F4 F 0.375 0.489 0.750
```

Computed properties:
The calculation puts the calculated volume at 24.29 A^3/atom. For the density of states at the Fermi level, the calculation gives 0.216 states/eV per atom. The space-group type is I-42d (122).

---

3) ## CaMoF2 (PBE with a Hubbard U)

Data for a geometry-optimized CaMoF2 structure.

CIF file:
```
data_CaMoF2
_cell_length_a 8.286
_cell_length_b 8.286
_cell_length_c 8.286
_cell_angle_alpha 24.85
_cell_angle_beta 24.85
_cell_angle_gamma 24.85
_symmetry_space_group_name_H-M 'P 1'
_symmetry_Int_Tables_number 1
loop_
_symmetry_equiv_pos_as_xyz
'x,y,z'
loop_
_atom_site_label
_atom_site_type_symbol
_atom_site_fract_x
_atom_site_fract_y
_atom_site_fract_z
Mo1 Mo 0.000 0.000 0.000
F1 F 0.874 0.874 0.874
Ca1 Ca 0.500 0.500 0.500
F2 F 0.126 0.126 0.126
```

Computed properties:
The calculation puts the calculated volume at 22.10 A^3/atom. For the density of states at the Fermi level, the calculation gives 0.128 states/eV per atom. The space-group type is R-3m (166).

---

4) ## CaMoF2 (PBE with a Hubbard U)

Data for a geometry-optimized CaMoF2 structure.

CIF file:
```
data_CaMoF2
_cell_length_a 4.642
_cell_length_b 4.642
_cell_length_c 4.642
_cell_angle_alpha 60.00
_cell_angle_beta 60.00
_cell_angle_gamma 60.00
_symmetry_space_group_name_H-M 'P 1'
_symmetry_Int_Tables_number 1
loop_
_symmetry_equiv_pos_as_xyz
'x,y,z'
loop_
_atom_site_label
_atom_site_type_symbol
_atom_site_fract_x
_atom_site_fract_y
_atom_site_fract_z
Ca1 Ca 0.000 0.000 0.000
F1 F 0.250 0.250 0.250
F2 F 0.750 0.750 0.750
Mo1 Mo 0.500 0.500 0.500
```

Computed properties:
The calculation puts the calculated volume at 17.68 A^3/atom. For the density of states at the Fermi level, the calculation gives 0.322 states/eV per atom. The space-group type is Fm-3m (225).

---

Q: Which of them is the least stable? A: 4).